Record 1
An optimized crystal structure of NbGeRh3. Source: the Alexandria database, functional PBE.

Crystal system   cubic
Polymorph energy (0 for the lowest one)   1017 meV per atom
Total DFT energy (no corrections)   -6.786 eV per atom
Symmetry   Pm-3m

abc: 4.4788 4.4788 4.4788
angles: 90.00 90.00 90.00
Last column: nearest neighbours and their distance in Å.
Fractional coordinates of all 5 atoms:
1 Rh 0.0000 0.0000 0.5000  2 Ge 2.24
2 Rh 0.5000 0.0000 0.0000  2 Ge 2.24
3 Rh 0.0000 0.5000 0.0000  2 Ge 2.24
4 Nb 0.5000 0.5000 0.5000  12 Rh 3.17
5 Ge 0.0000 0.0000 0.0000  6 Rh 2.24

***

Record 2
An optimized crystal structure of Nb6GeRh12. Source: the Alexandria database, functional PBE.

Crystal system   trigonal
Total DFT energy (no corrections)   -8.447 eV per atom
Symmetry   R-3

abc: 7.4018 7.4018 7.4018
angles: 110.89 110.89 110.89
Last column: nearest neighbours and their distance in Å.
Fractional coordinates of all 19 atoms:
1 Nb 0.0871 0.5935 0.3758  8 Rh 2.61-2.92, 2 Nb 2.88
2 Nb 0.9129 0.4065 0.6242  8 Rh 2.61-2.92, 2 Nb 2.88
3 Nb 0.4065 0.6242 0.9129  8 Rh 2.61-2.92, 2 Nb 2.88
4 Nb 0.3758 0.0871 0.5935  8 Rh 2.61-2.92, 2 Nb 2.88
5 Nb 0.6242 0.9129 0.4065  8 Rh 2.61-2.92, 2 Nb 2.88
6 Nb 0.5935 0.3758 0.0871  8 Rh 2.61-2.92, 2 Nb 2.88
7 Rh 0.8906 0.8343 0.2630  5 Nb 2.69-2.92, 6 Rh 2.76-2.88, 1 Ge 2.84
8 Rh 0.1094 0.1657 0.7370  5 Nb 2.69-2.92, 6 Rh 2.76-2.88, 1 Ge 2.84
9 Rh 0.2630 0.8906 0.8343  5 Nb 2.69-2.92, 6 Rh 2.76-2.88, 1 Ge 2.84
10 Rh 0.2062 0.3226 0.4732  3 Nb 2.61-2.70, 7 Rh 2.76-2.88, 1 Ge 2.81
11 Rh 0.3226 0.4732 0.2062  3 Nb 2.61-2.70, 7 Rh 2.76-2.88, 1 Ge 2.81
12 Rh 0.7938 0.6774 0.5268  3 Nb 2.61-2.70, 7 Rh 2.76-2.88, 1 Ge 2.81
13 Rh 0.6774 0.5268 0.7938  3 Nb 2.61-2.70, 7 Rh 2.76-2.88, 1 Ge 2.81
14 Rh 0.8343 0.2630 0.8906  5 Nb 2.69-2.92, 6 Rh 2.76-2.88, 1 Ge 2.84
15 Rh 0.5268 0.7938 0.6774  3 Nb 2.61-2.70, 7 Rh 2.76-2.88, 1 Ge 2.81
16 Rh 0.4732 0.2062 0.3226  3 Nb 2.61-2.70, 7 Rh 2.76-2.88, 1 Ge 2.81
17 Rh 0.7370 0.1094 0.1657  5 Nb 2.69-2.92, 6 Rh 2.76-2.88, 1 Ge 2.84
18 Rh 0.1657 0.7370 0.1094  5 Nb 2.69-2.92, 6 Rh 2.76-2.88, 1 Ge 2.84
19 Ge 0.0000 0.0000 0.0000  12 Rh 2.81-2.84

***

Record 3
An optimized crystal structure of NbGeRh2. Source: the Alexandria database, functional PBE.

Crystal system   tetragonal
Total DFT energy (no corrections)   -7.808 eV per atom
Symmetry   P4/mmm

abc: 2.9086 2.9086 7.1435
angles: 90.00 90.00 90.00
Last column: nearest neighbours and their distance in Å.
Fractional coordinates of all 4 atoms:
1 Rh 0.0000 0.0000 0.2211  4 Ge 2.59, 4 Nb 2.86
2 Rh 0.0000 0.0000 0.7789  4 Ge 2.59, 4 Nb 2.86
3 Nb 0.5000 0.5000 0.5000  8 Rh 2.86, 4 Nb 2.91
4 Ge 0.5000 0.5000 0.0000  8 Rh 2.59

***

Record 4
An optimized crystal structure of NbGeRuRh. Source: the Alexandria database, functional PBE.

Crystal system   tetragonal
Total DFT energy (no corrections)   -8.253 eV per atom
Symmetry   I-4m2

abc: 4.0412 4.0415 4.6769
angles: 115.60 115.60 90.00
Last column: nearest neighbours and their distance in Å.
Fractional coordinates of all 4 atoms:
1 Ge 0.7500 0.2500 0.5000  4 Rh 2.74, 4 Ru 2.74, 4 Nb 2.86
2 Rh 0.0000 0.0000 0.0000  4 Ge 2.74, 4 Nb 2.74, 4 Ru 2.86
3 Ru 0.5000 0.5000 0.0000  4 Nb 2.74, 4 Ge 2.74, 4 Rh 2.86
4 Nb 0.2500 0.7500 0.5000  4 Ru 2.74, 4 Rh 2.74, 4 Ge 2.86

***

Record 5
An optimized crystal structure of Th2NbGe4Rh3. Source: the Alexandria database, functional PBE.

Crystal system   tetragonal
Total DFT energy (no corrections)   -7.311 eV per atom
Symmetry   P-4m2

abc: 4.2337 4.2337 10.6895
angles: 90.00 90.00 90.00
Last column: nearest neighbours and their distance in Å.
Fractional coordinates of all 10 atoms:
1 Rh 0.0000 0.0000 0.5000  4 Ge 2.62
2 Rh 0.5000 0.0000 0.8759  5 Ge 2.47-2.50
3 Rh 0.0000 0.5000 0.1241  5 Ge 2.47-2.50
4 Ge 0.0000 0.5000 0.3551  3 Rh 2.47-2.62, 2 Nb 2.62
5 Ge 0.5000 0.0000 0.6449  3 Rh 2.47-2.62, 2 Nb 2.62
6 Ge 0.0000 0.0000 0.0000  4 Rh 2.50
7 Ge 0.5000 0.5000 0.0000  4 Rh 2.50
8 Nb 0.5000 0.5000 0.5000  4 Ge 2.62
9 Th 0.5000 0.0000 0.2360  6 Rh 3.22-3.53, 8 Ge 3.25-3.29, 2 Nb 3.53
10 Th 0.0000 0.5000 0.7640  6 Rh 3.22-3.53, 8 Ge 3.25-3.29, 2 Nb 3.53

***

Record 6
An optimized crystal structure of Nb2GeRu. Source: the Alexandria database, functional PBE.

Crystal system   tetragonal
Total DFT energy (no corrections)   -8.187 eV per atom
Symmetry   I-42d

abc: 3.8649 3.8649 9.8371
angles: 78.67 78.67 90.00
Last column: nearest neighbours and their distance in Å.
Fractional coordinates of all 8 atoms:
1 Ru 0.7500 0.2500 0.5000  4 Ge 2.73, 4 Nb 2.75
2 Ru 0.0000 0.0000 0.0000  4 Ge 2.73, 4 Nb 2.75
3 Ge 0.5000 0.5000 0.0000  4 Nb 2.71, 4 Ru 2.73
4 Ge 0.2500 0.7500 0.5000  4 Nb 2.71, 4 Ru 2.73
5 Nb 0.1367 0.6250 0.2500  4 Nb 2.67-2.80, 2 Ge 2.71, 2 Ru 2.75
6 Nb 0.3750 0.3867 0.7500  4 Nb 2.67-2.80, 2 Ge 2.71, 2 Ru 2.75
7 Nb 0.8750 0.8633 0.7500  4 Nb 2.67-2.80, 2 Ge 2.71, 2 Ru 2.75
8 Nb 0.6133 0.1250 0.2500  4 Nb 2.67-2.80, 2 Ge 2.71, 2 Ru 2.75

***

Record 7
An optimized crystal structure of Nb3GeRu4. Source: the Alexandria database, functional PBE.

Crystal system   trigonal
Total DFT energy (no corrections)   -9.264 eV per atom
Symmetry   R-3m

abc: 4.4116 4.4116 7.8212
angles: 73.62 73.62 60.00
Last column: nearest neighbours and their distance in Å.
Fractional coordinates of all 8 atoms:
1 Ru 0.8822 0.8822 0.3535  1 Ge 2.61, 7 Nb 2.65-2.92
2 Ru 0.3722 0.3722 0.8833  3 Ge 2.69, 5 Nb 2.73-2.83
3 Ru 0.1178 0.1178 0.6465  1 Ge 2.61, 7 Nb 2.65-2.92
4 Ru 0.6278 0.6278 0.1167  3 Ge 2.69, 5 Nb 2.73-2.83
5 Nb 0.7507 0.7507 0.7478  8 Ru 2.65-2.92
6 Nb 0.5000 0.5000 0.5000  8 Ru 2.77-2.83
7 Nb 0.2493 0.2493 0.2522  8 Ru 2.65-2.92
8 Ge 0.0000 0.0000 0.0000  8 Ru 2.61-2.69

***

Record 8
An optimized crystal structure of Nb2Ge3Ru. Source: the Alexandria database, functional PBE.

Crystal system   orthorhombic
Total DFT energy (no corrections)   -7.214 eV per atom
Symmetry   Immm

abc: 3.9438 5.2721 6.0154
angles: 115.99 109.14 90.00
Last column: nearest neighbours and their distance in Å.
Fractional coordinates of all 6 atoms:
1 Nb 0.3203 0.8203 0.6406  6 Ge 2.61-2.68
2 Nb 0.6797 0.1797 0.3594  6 Ge 2.61-2.68
3 Ru 0.0000 0.5000 0.0000  6 Ge 2.48-2.64
4 Ge 0.0000 0.0000 0.0000  2 Ru 2.64, 4 Nb 2.68
5 Ge 0.6498 0.6498 0.2995  2 Ru 2.48, 4 Nb 2.61-2.65
6 Ge 0.3502 0.3502 0.7005  2 Ru 2.48, 4 Nb 2.61-2.65

***

Record 9
An optimized crystal structure of Nb2GeRu. Source: the Alexandria database, functional PBE.

Crystal system   tetragonal
Total DFT energy (no corrections)   -8.749 eV per atom
Symmetry   P4/mmm

abc: 4.0918 3.9782 3.9782
angles: 90.00 90.00 90.00
Last column: nearest neighbours and their distance in Å.
Fractional coordinates of all 4 atoms:
1 Ge 0.5000 0.5000 0.5000  4 Ru 2.81, 8 Nb 2.85
2 Nb 0.0000 0.5000 0.0000  4 Nb 2.81, 4 Ge 2.85, 4 Ru 2.85
3 Nb 0.0000 0.0000 0.5000  4 Nb 2.81, 4 Ge 2.85, 4 Ru 2.85
4 Ru 0.5000 0.0000 0.0000  4 Ge 2.81, 8 Nb 2.85

***

Record 10
An optimized crystal structure of NbGeRu2. Source: the Alexandria database, functional PBE.

Crystal system   tetragonal
Total DFT energy (no corrections)   -8.572 eV per atom
Symmetry   P4/mmm

abc: 3.0510 3.0510 6.4445
angles: 90.00 90.00 90.00
Last column: nearest neighbours and their distance in Å.
Fractional coordinates of all 4 atoms:
1 Ru 0.0000 0.0000 0.7725  4 Ge 2.61, 4 Nb 2.78
2 Ru 0.0000 0.0000 0.2275  4 Ge 2.61, 4 Nb 2.78
3 Nb 0.5000 0.5000 0.5000  8 Ru 2.78, 4 Nb 3.05
4 Ge 0.5000 0.5000 0.0000  8 Ru 2.61

***

Record 11
An optimized crystal structure of Nb3GeRu. Source: the Alexandria database, functional PBE.

Crystal system   cubic
Total DFT energy (no corrections)   -7.871 eV per atom
Symmetry   Pm-3m

abc: 4.7975 4.7975 4.7975
angles: 90.00 90.00 90.00
Last column: nearest neighbours and their distance in Å.
Fractional coordinates of all 5 atoms:
1 Nb 0.5000 0.0000 0.0000  2 Ru 2.40
2 Nb 0.0000 0.5000 0.0000  2 Ru 2.40
3 Nb 0.0000 0.0000 0.5000  2 Ru 2.40
4 Ru 0.0000 0.0000 0.0000  6 Nb 2.40
5 Ge 0.5000 0.5000 0.5000  12 Nb 3.39

***

Record 12
An optimized crystal structure of NbGeRu3. Source: the Alexandria database, functional PBE.

Crystal system   cubic
Polymorph energy (0 for the lowest one)   267 meV per atom
Total DFT energy (no corrections)   -7.671 eV per atom
Symmetry   Pm-3m

abc: 4.4444 4.4444 4.4444
angles: 90.00 90.00 90.00
Last column: nearest neighbours and their distance in Å.
Fractional coordinates of all 5 atoms:
1 Ru 0.0000 0.0000 0.5000  2 Ge 2.22
2 Ru 0.0000 0.5000 0.0000  2 Ge 2.22
3 Ru 0.5000 0.0000 0.0000  2 Ge 2.22
4 Ge 0.0000 0.0000 0.0000  6 Ru 2.22
5 Nb 0.5000 0.5000 0.5000  12 Ru 3.14

***

Record 13
An optimized crystal structure of Nb2Ge4Ru. Source: the Alexandria database, functional PBE.

Crystal system   tetragonal
Total DFT energy (no corrections)   -6.420 eV per atom
Symmetry   I4/mmm

abc: 4.7467 4.7467 7.2786
angles: 70.97 70.97 90.00
Last column: nearest neighbours and their distance in Å.
Fractional coordinates of all 7 atoms:
1 Ge 0.1938 0.1938 0.6124  1 Ru 2.50, 1 Nb 2.64
2 Ge 0.8062 0.8062 0.3876  1 Ru 2.50, 1 Nb 2.64
3 Ge 0.0000 0.5000 0.0000  2 Ru 2.37
4 Ge 0.5000 0.0000 0.0000  2 Ru 2.37
5 Nb 0.6018 0.6018 0.7965  1 Nb 2.63, 5 Ge 2.64-2.71
6 Nb 0.3982 0.3982 0.2035  1 Nb 2.63, 5 Ge 2.64-2.71
7 Ru 0.0000 0.0000 0.0000  6 Ge 2.37-2.50

***

Record 14
An optimized crystal structure of Nb5GeRu6. Source: the Alexandria database, functional PBE.

Crystal system   orthorhombic
Total DFT energy (no corrections)   -9.501 eV per atom
Symmetry   Immm

abc: 4.3140 6.8306 7.5768
angles: 116.79 106.54 90.00
Last column: nearest neighbours and their distance in Å.
Fractional coordinates of all 12 atoms:
1 Nb 0.0000 0.5000 0.0000  8 Ru 2.82-2.88, 4 Nb 2.87
2 Nb 0.6750 0.1750 0.3499  8 Ru 2.68-2.72
3 Nb 0.6480 0.6480 0.2959  8 Ru 2.69-2.85, 2 Nb 2.87
4 Nb 0.3250 0.8250 0.6501  8 Ru 2.68-2.72
5 Nb 0.3520 0.3520 0.7041  8 Ru 2.69-2.85, 2 Nb 2.87
6 Ru 0.5000 0.2202 0.0000  2 Ge 2.63, 6 Nb 2.69-2.88
7 Ru 0.8327 0.0654 0.6655  1 Ge 2.67, 7 Nb 2.68-2.85
8 Ru 0.8327 0.6001 0.6655  1 Ge 2.67, 7 Nb 2.68-2.85
9 Ru 0.1673 0.9346 0.3345  1 Ge 2.67, 7 Nb 2.68-2.85
10 Ru 0.5000 0.7798 0.0000  2 Ge 2.63, 6 Nb 2.69-2.88
11 Ru 0.1673 0.3999 0.3345  1 Ge 2.67, 7 Nb 2.68-2.85
12 Ge 0.0000 0.0000 0.0000  8 Ru 2.63-2.67

***

Record 15
An optimized crystal structure of NbGeRu2. Source: the Alexandria database, functional PBE.

Crystal system   tetragonal
Total DFT energy (no corrections)   -8.572 eV per atom
Symmetry   P4/mmm

abc: 3.3850 4.2233 4.2233
angles: 90.00 90.00 90.00
Last column: nearest neighbours and their distance in Å.
Fractional coordinates of all 4 atoms:
1 Ru 0.0000 0.5000 0.0000  4 Nb 2.71, 4 Ge 2.71, 4 Ru 2.99
2 Ru 0.0000 0.0000 0.5000  4 Ge 2.71, 4 Nb 2.71, 4 Ru 2.99
3 Ge 0.5000 0.5000 0.5000  8 Ru 2.71, 4 Nb 2.99
4 Nb 0.5000 0.0000 0.0000  8 Ru 2.71, 4 Ge 2.99

***

Record 16
An optimized crystal structure of NbGeRu2. Source: the Alexandria database, functional PBE.

Crystal system   tetragonal
Total DFT energy (no corrections)   -7.990 eV per atom
Symmetry   I-42d

abc: 6.7973 6.7973 5.5967
angles: 52.61 52.61 90.00
Last column: nearest neighbours and their distance in Å.
Fractional coordinates of all 8 atoms:
1 Nb 0.7500 0.2500 0.5000  4 Ru 2.61, 2 Ge 2.87
2 Nb 0.0000 0.0000 0.0000  4 Ru 2.61, 2 Ge 2.87
3 Ru 0.8750 0.8539 0.7500  2 Ge 2.41, 2 Nb 2.61
4 Ru 0.3750 0.3961 0.7500  2 Ge 2.41, 2 Nb 2.61
5 Ru 0.6039 0.1250 0.2500  2 Ge 2.41, 2 Nb 2.61
6 Ru 0.1461 0.6250 0.2500  2 Ge 2.41, 2 Nb 2.61
7 Ge 0.5000 0.5000 0.0000  4 Ru 2.41
8 Ge 0.2500 0.7500 0.5000  4 Ru 2.41

***

Record 17
An optimized crystal structure of NbGeRu3. Source: the Alexandria database, functional PBE.

Crystal system   cubic
Polymorph energy (0 for the lowest one)   990 meV per atom
Total DFT energy (no corrections)   -6.948 eV per atom
Symmetry   Pm-3m

abc: 4.7101 4.7101 4.7101
angles: 90.00 90.00 90.00
Last column: nearest neighbours and their distance in Å.
Fractional coordinates of all 5 atoms:
1 Ru 0.0000 0.5000 0.0000  2 Nb 2.36
2 Ru 0.5000 0.0000 0.0000  2 Nb 2.36
3 Ru 0.0000 0.0000 0.5000  2 Nb 2.36
4 Ge 0.5000 0.5000 0.5000  12 Ru 3.33
5 Nb 0.0000 0.0000 0.0000  6 Ru 2.36

***

Record 18
An optimized crystal structure of Nb2Ge2Ru3. Source: the Alexandria database, functional PBE.

Crystal system   triclinic
Total DFT energy (no corrections)   -8.375 eV per atom
Symmetry   P-1

abc: 4.2775 4.2773 7.6624
angles: 89.98 106.29 119.97
Last column: nearest neighbours and their distance in Å.
Fractional coordinates of all 7 atoms:
1 Nb 0.2518 0.1259 0.3777  5 Ru 2.64-2.74, 3 Ge 2.95-2.96
2 Nb 0.7482 0.8741 0.6223  5 Ru 2.64-2.74, 3 Ge 2.95-2.96
3 Ru 0.4985 0.7488 0.2473  3 Ge 2.56, 4 Nb 2.64-2.72
4 Ru 0.5015 0.2512 0.7527  3 Ge 2.56, 4 Nb 2.64-2.72
5 Ru 0.0000 0.0000 0.0000  6 Ge 2.71, 2 Nb 2.74
6 Ge 0.2305 0.6157 0.8458  6 Ru 2.56-2.71
7 Ge 0.7695 0.3843 0.1542  6 Ru 2.56-2.71

***

Record 19
An optimized crystal structure of NbGeRu3. Source: the Alexandria database, functional PBE.

Crystal system   tetragonal
Polymorph energy (0 for the lowest one)   0 meV per atom
Total DFT energy (no corrections)   -7.938 eV per atom
Symmetry   I-4m2

abc: 4.7711 4.7711 9.4392
angles: 104.64 104.64 90.00
Last column: nearest neighbours and their distance in Å.
Fractional coordinates of all 10 atoms:
1 Ru 0.1210 0.8666 0.2420  2 Ru 2.34-2.43, 2 Ge 2.45-2.56
2 Ru 0.7295 0.7295 0.4590  2 Ge 2.41, 2 Nb 2.68
3 Ru 0.1210 0.3753 0.2420  2 Ru 2.34-2.43, 2 Ge 2.45-2.56
4 Ru 0.2705 0.2705 0.5410  2 Ge 2.41, 2 Nb 2.68
5 Ru 0.6247 0.8790 0.7580  2 Ru 2.34-2.43, 2 Ge 2.45-2.56
6 Ru 0.1334 0.8790 0.7580  2 Ru 2.34-2.43, 2 Ge 2.45-2.56
7 Ge 0.0000 0.0000 0.0000  4 Ru 2.45
8 Ge 0.2500 0.7500 0.5000  8 Ru 2.41-2.56
9 Nb 0.6607 0.1607 0.3214  6 Ru 2.68-2.77
10 Nb 0.8393 0.3393 0.6786  6 Ru 2.68-2.77

***

Record 20
An optimized crystal structure of Nb2GeRu. Source: the Alexandria database, functional PBE.

Crystal system   trigonal
Total DFT energy (no corrections)   -8.532 eV per atom
Symmetry   R-3m

abc: 2.9284 2.9284 9.1278
angles: 80.77 80.77 60.00
Last column: nearest neighbours and their distance in Å.
Fractional coordinates of all 4 atoms:
1 Nb 0.7484 0.7484 0.7549  3 Ru 2.77, 3 Ge 2.84, 6 Nb 2.93
2 Nb 0.2516 0.2516 0.2451  3 Ru 2.77, 3 Ge 2.84, 6 Nb 2.93
3 Ge 0.5000 0.5000 0.5000  6 Nb 2.84, 6 Ge 2.93
4 Ru 0.0000 0.0000 0.0000  6 Nb 2.77, 6 Ru 2.93